Entry 1:
Below is an optimized crystal structure of AgPt, with properties calculated at the PBE level.

a = 4.0016 Å, b = 4.0016 Å, c = 5.6563 Å
α = 90.00°, β = 90.00°, γ = 120.00°
Space group P6_3/mmc (No. 194)
One atom of each set of equivalent atoms:
Ag 0.0000 0.0000 0.0000 [2 per cell]
Pt 0.3333 0.6667 0.2500 [2 per cell]

Results
Total DFT energy (no corrections) ... -15.1 eV per cell
Crystal system ... hexagonal
Formation energy from the elements ... 63.6 kJ/mol of atoms
V ... 78.4 Å³/cell
DOS(E_F) ... 2.55 states/eV/f.u.


Entry 2:
Below is an optimized crystal structure of Ag4Pt5, with properties calculated at the PBE level.

a = 4.958 Å, b = 4.964 Å, c = 7.475 Å
α = 71.24°, β = 89.87°, γ = 60.18°
Space group P1 (No. 1)
One atom of each set of equivalent atoms:
Ag 0.000 0.000 0.000 [1 per cell]
Ag 0.125 0.447 0.335 [1 per cell]
Ag 0.567 0.217 0.665 [1 per cell]
Ag 0.795 0.116 0.333 [1 per cell]
Pt 0.248 0.864 0.670 [1 per cell]
Pt 0.324 0.335 0.997 [1 per cell]
Pt 0.467 0.788 0.332 [1 per cell]
Pt 0.657 0.673 0.001 [1 per cell]
Pt 0.893 0.555 0.668 [1 per cell]

Results
Total DFT energy (no corrections) ... -41.2 eV per cell
Crystal system ... triclinic
Formation energy from the elements ... 4.4 kJ/mol of atoms
V ... 148.3 Å³/cell
DOS(E_F) ... 10.13 states/eV/f.u.
Energy relative to the lowest polymorph listed for this composition ... 20 meV per atom